First-principles (meta-GGA SCAN) data for a PBEsol-optimized structure of KCrAg2, as listed in the Alexandria database.

Lattice parameters (Å, degrees): 3.2606 3.3731 7.9394 90.00 89.99 90.00
Atoms (fractional coordinates):
Ag  0.9998  0.0000  0.8177
Ag  0.0002  0.0000  0.1823
Cr  0.5000  0.5000  0.0000
K  0.5000  0.5000  0.5000

Computed properties:
The value obtained for the density of states at the Fermi level is 1.33 states/eV/f.u. For the formation energy from the elements, the calculation gives 0.2912 eV per atom. As for the spin magnetization: 4.17 μB per cell.